{"formula": "KNdSnTe3", "functional": "PBE", "state": "relaxed", "lattice_angstrom": [[-5.629, -0.082, 6.100], [1.325, -0.827, -8.152], [1.848, -12.234, 1.541]], "species": ["K", "K", "Nd", "Nd", "Sn", "Sn", "Te", "Te", "Te", "Te", "Te", "Te"], "fractional_positions": [[0.252, 0.748, 0.250], [0.748, 0.252, 0.750], [0.500, 0.500, 0.000], [0.500, 0.500, 0.500], [0.965, 0.035, 0.250], [0.035, 0.965, 0.750], [0.867, 0.133, 0.040], [0.578, 0.422, 0.250], [0.867, 0.133, 0.460], [0.133, 0.867, 0.540], [0.422, 0.578, 0.750], [0.133, 0.867, 0.960]], "relative_energy_ev_per_atom": 0.144, "density_g_cm3": 4.7}